(1)
# In3H12Pd5, relaxed, DFT PBE-GGA
# Final energy (eV/atom): -3.575
data_In3H12Pd5
_cell_length_a 11.9813
_cell_length_b 11.9813
_cell_length_c 11.9813
_cell_angle_alpha 90.00
_cell_angle_beta 90.00
_cell_angle_gamma 90.00
_space_group_name_H-M_alt 'I a -3 d'
_space_group_IT_number 230
_space_group_name_Hall '-I 4bd 2c 3'
loop_
_atom_site_label
_atom_site_type_symbol
_atom_site_fract_x
_atom_site_fract_y
_atom_site_fract_z
_atom_site_occupancy
In1 In 0.0000 0.2500 0.1250 1
H1 H 0.0439 0.1319 0.9512 1
Pd1 Pd 0.0000 0.0000 0.0000 1
Pd2 Pd 0.0000 0.2500 0.3750 1



(2)
# La4Ti, relaxed, DFT PBE-GGA
# Formation energy from the elements (meV per atom): 412
# Final energy (eV/atom): -5.109
data_La4Ti
_cell_length_a 5.6685
_cell_length_b 5.6685
_cell_length_c 5.6685
_cell_angle_alpha 90.00
_cell_angle_beta 90.00
_cell_angle_gamma 90.00
_space_group_name_H-M_alt 'P m -3 m'
_space_group_IT_number 221
_space_group_name_Hall '-P 4 2 3'
loop_
_atom_site_label
_atom_site_type_symbol
_atom_site_fract_x
_atom_site_fract_y
_atom_site_fract_z
_atom_site_occupancy
La1 La 0.0000 0.0000 0.0000 1
La2 La 0.0000 0.5000 0.5000 1
Ti1 Ti 0.5000 0.5000 0.5000 1



(3)
# K2RbYI6, relaxed, DFT PBE-GGA
# E above lowest polymorph (meV per atom): 0
# Formation energy without anion corrections (eV per atom): -1.453
# Final energy (eV/atom): -3.346
data_K2RbYI6
_cell_length_a 8.7590
_cell_length_b 8.7590
_cell_length_c 23.0326
_cell_angle_alpha 90.00
_cell_angle_beta 90.00
_cell_angle_gamma 120.00
_space_group_name_H-M_alt 'R 3'
_space_group_IT_number 146
_space_group_name_Hall 'R 3'
loop_
_atom_site_label
_atom_site_type_symbol
_atom_site_fract_x
_atom_site_fract_y
_atom_site_fract_z
_atom_site_occupancy
K1 K 0.0000 0.0000 0.0000 1
K2 K 0.0000 0.0000 0.4882 1
Rb1 Rb 0.0000 0.0000 0.1982 1
Y1 Y 0.0000 0.0000 0.6881 1
I1 I 0.0278 0.3917 0.4278 1
I2 I 0.0589 0.6713 0.2736 1



(4)
# CeCu5S6, relaxed, DFT PBE-GGA
# Formation energy without anion corrections (eV per atom): -0.487
# Final energy (eV/atom): -4.752
data_CeCu5S6
_cell_length_a 6.6036
_cell_length_b 10.5043
_cell_length_c 6.4762
_cell_angle_alpha 90.00
_cell_angle_beta 113.10
_cell_angle_gamma 90.00
_space_group_name_H-M_alt 'C 1 2/m 1'
_space_group_IT_number 12
_space_group_name_Hall '-C 2y'
loop_
_atom_site_label
_atom_site_type_symbol
_atom_site_fract_x
_atom_site_fract_y
_atom_site_fract_z
_atom_site_occupancy
Ce1 Ce 0.0000 0.0000 0.0000 1
Cu1 Cu 0.0000 0.1683 0.5000 1
Cu2 Cu 0.0000 0.3569 0.0000 1
Cu3 Cu 0.0000 0.5000 0.5000 1
S1 S 0.1682 0.3322 0.7553 1
S2 S 0.2118 0.0000 0.7116 1



(5)
# Ac3In5Pd6, relaxed, DFT PBE-GGA
# Formation energy from the elements (meV per atom): -690
# Final energy (eV/atom): -4.774
data_Ac3In5Pd6
_cell_length_a 4.8029
_cell_length_b 9.8311
_cell_length_c 13.8552
_cell_angle_alpha 90.00
_cell_angle_beta 90.00
_cell_angle_gamma 90.00
_space_group_name_H-M_alt 'I m m m'
_space_group_IT_number 71
_space_group_name_Hall '-I 2 2'
loop_
_atom_site_label
_atom_site_type_symbol
_atom_site_fract_x
_atom_site_fract_y
_atom_site_fract_z
_atom_site_occupancy
Ac1 Ac 0.0000 0.0000 0.0000 1
Ac2 Ac 0.0000 0.0000 0.3205 1
In1 In 0.0000 0.3449 0.3226 1
In2 In 0.0000 0.5000 0.0000 1
Pd1 Pd 0.0000 0.2028 0.5000 1
Pd2 Pd 0.0000 0.2723 0.1178 1



(6)
# Pr3MgGe6Pd2, relaxed, DFT PBE-GGA
# Formation energy from the elements (meV per atom): -454
# Final energy (eV/atom): -4.956
data_Pr3MgGe6Pd2
_cell_length_a 6.0962
_cell_length_b 6.0962
_cell_length_c 8.3312
_cell_angle_alpha 90.00
_cell_angle_beta 90.00
_cell_angle_gamma 120.00
_space_group_name_H-M_alt 'P -3 m 1'
_space_group_IT_number 164
_space_group_name_Hall '-P 3 2"'
loop_
_atom_site_label
_atom_site_type_symbol
_atom_site_fract_x
_atom_site_fract_y
_atom_site_fract_z
_atom_site_occupancy
Pr1 Pr 0.0000 0.0000 0.0000 1
Pr2 Pr 0.3333 0.6667 0.6267 1
Mg1 Mg 0.0000 0.0000 0.5000 1
Ge1 Ge 0.1921 0.3841 0.2784 1
Pd1 Pd 0.3333 0.6667 0.0232 1



(7)
# Ag2OsBr6, relaxed, DFT PBE-GGA
# Formation energy without anion corrections (eV per atom): -0.199
# Final energy (eV/atom): -3.196
data_Ag2OsBr6
_cell_length_a 6.4811
_cell_length_b 7.1052
_cell_length_c 11.4494
_cell_angle_alpha 90.00
_cell_angle_beta 90.00
_cell_angle_gamma 90.00
_space_group_name_H-M_alt 'P n n m'
_space_group_IT_number 58
_space_group_name_Hall '-P 2 2n'
loop_
_atom_site_label
_atom_site_type_symbol
_atom_site_fract_x
_atom_site_fract_y
_atom_site_fract_z
_atom_site_occupancy
Ag1 Ag 0.0000 0.0000 0.1804 1
Os1 Os 0.0000 0.5000 0.0000 1
Br1 Br 0.2172 0.3466 0.1536 1
Br2 Br 0.2220 0.7904 0.0000 1



(8)
# KMoAsBr2, relaxed, DFT PBE-GGA
# E above lowest polymorph (meV per atom): 0
# Formation energy without anion corrections (eV per atom): -0.376
# Final energy (eV/atom): -4.361
data_KMoAsBr2
_cell_length_a 5.5053
_cell_length_b 5.5053
_cell_length_c 4.8641
_cell_angle_alpha 90.00
_cell_angle_beta 90.00
_cell_angle_gamma 90.00
_space_group_name_H-M_alt 'P 4/m m m'
_space_group_IT_number 123
_space_group_name_Hall '-P 4 2'
loop_
_atom_site_label
_atom_site_type_symbol
_atom_site_fract_x
_atom_site_fract_y
_atom_site_fract_z
_atom_site_occupancy
K1 K 0.0000 0.0000 0.0000 1
Mo1 Mo 0.5000 0.5000 0.5000 1
As1 As 0.5000 0.5000 0.0000 1
Br1 Br 0.0000 0.5000 0.5000 1



Number 1: calculated volume 1719.9 Å³/cell, total magnetization 0.0 μB/cell. Number 2: calculated volume 182.1 Å³/cell, total magnetization 0.0 μB/cell. Number 3: calculated volume 1530.3 Å³/cell, total magnetization 0.0 μB/cell. Number 4: calculated volume 413.2 Å³/cell, total magnetization 0.0 μB/cell. Number 5: calculated volume 654.2 Å³/cell, total magnetization 0.0 μB/cell. Number 6: calculated volume 268.1 Å³/cell, total magnetization 0.0 μB/cell. Number 7: calculated volume 527.2 Å³/cell, total magnetization 4.1 μB/cell. Number 8: calculated volume 147.4 Å³/cell, total magnetization 1.8 μB/cell.